1.
Compound: NaTi2InC
Source: Alexandria via LeMat-Bulk
Functional: PBE
Structure: optimized geometry

Formation energy from the elements = 1.807 eV/atom
Symmetry = P4/mmm (123)

abc: 5.451 5.451 4.237
angles: 90.00 90.00 90.00
Atoms (fractional coordinates):
Na  0.000  0.000  0.000
Ti  0.000  0.500  0.500
Ti  0.500  0.000  0.500
In  0.500  0.500  0.500
C  0.500  0.500  0.000

=====

2.
Compound: Al2IrPb
Source: Alexandria via LeMat-Bulk
Functional: PBE
Structure: optimized geometry

Formation energy from the elements = 0.197 eV/atom
Symmetry = Cmmm (65)

abc: 4.889 4.889 3.131
angles: 90.00 90.00 107.10
Atoms (fractional coordinates):
Al  0.000  0.500  0.000
Al  0.500  0.000  0.000
Ir  0.000  0.000  0.500
Pb  0.500  0.500  0.500

=====

3.
Compound: Dy3HgB
Source: Alexandria via LeMat-Bulk
Functional: PBE
Structure: optimized geometry

Formation energy from the elements = -0.154 eV/atom
Symmetry = Pm-3m (221)

abc: 5.024 5.024 5.024
angles: 90.00 90.00 90.00
Atoms (fractional coordinates):
Dy  0.000  0.000  0.500
Dy  0.000  0.500  0.000
Dy  0.500  0.000  0.000
Hg  0.500  0.500  0.500
B  0.000  0.000  0.000

=====

4.
Compound: Li7AlHg3
Source: Alexandria via LeMat-Bulk
Functional: PBE
Structure: optimized geometry

Formation energy from the elements = -0.194 eV/atom
Symmetry = Cmcm (63)

abc: 11.075 11.075 12.738
angles: 90.00 90.00 164.53
Atoms (fractional coordinates):
Li  0.045  0.955  0.582
Li  0.045  0.955  0.918
Li  0.084  0.916  0.127
Li  0.084  0.916  0.373
Li  0.137  0.863  0.750
Li  0.232  0.768  0.107
Li  0.232  0.768  0.393
Li  0.768  0.232  0.607
Li  0.768  0.232  0.893
Li  0.863  0.137  0.250
Li  0.916  0.084  0.627
Li  0.916  0.084  0.873
Li  0.955  0.045  0.082
Li  0.955  0.045  0.418
Al  0.498  0.502  0.250
Al  0.502  0.498  0.750
Hg  0.336  0.664  0.750
Hg  0.349  0.651  0.036
Hg  0.349  0.651  0.464
Hg  0.651  0.349  0.536
Hg  0.651  0.349  0.964
Hg  0.664  0.336  0.250

=====

5.
Compound: Ca2Mg2Tl
Source: Alexandria via LeMat-Bulk
Functional: PBE
Structure: optimized geometry

Formation energy from the elements = -0.043 eV/atom
Energy relative to the lowest polymorph listed for this composition = 65 meV/atom
Symmetry = I4/mmm (139)

abc: 9.988 9.988 9.988
angles: 156.51 156.51 33.46
Atoms (fractional coordinates):
Ca  0.096  0.096  0.000
Ca  0.904  0.904  0.000
Mg  0.250  0.750  0.500
Mg  0.750  0.250  0.500
Tl  0.500  0.500  0.000

=====

6.
Compound: Sm2HoAu3
Source: Alexandria via LeMat-Bulk
Functional: PBE
Structure: optimized geometry

Formation energy from the elements = -0.825 eV/atom
Energy relative to the lowest polymorph listed for this composition = 0 meV/atom
Symmetry = P4/mmm (123)

abc: 3.621 3.621 11.052
angles: 90.00 90.00 90.00
Atoms (fractional coordinates):
Sm  0.000  0.000  0.169
Sm  0.000  0.000  0.831
Ho  0.000  0.000  0.500
Au  0.500  0.500  0.000
Au  0.500  0.500  0.343
Au  0.500  0.500  0.657

=====

7.
Compound: Ba2CaIr
Source: Alexandria via LeMat-Bulk
Functional: PBE
Structure: optimized geometry

Formation energy from the elements = 0.250 eV/atom
Energy relative to the lowest polymorph listed for this composition = 436 meV/atom
Symmetry = F222 (22)

abc: 5.617 5.595 5.589
angles: 60.29 59.91 59.80
Atoms (fractional coordinates):
Ba  0.000  0.000  0.000
Ba  0.250  0.250  0.250
Ca  0.750  0.750  0.750
Ir  0.500  0.500  0.500

=====

8.
Compound: PmDyCdPb
Source: Alexandria via LeMat-Bulk
Functional: PBE
Structure: optimized geometry

Formation energy from the elements = -0.405 eV/atom
Symmetry = F-43m (216)

abc: 5.400 5.400 5.400
angles: 60.00 60.00 60.00
Atoms (fractional coordinates):
Pm  0.000  0.000  0.000
Dy  0.500  0.500  0.500
Cd  0.750  0.750  0.750
Pb  0.250  0.250  0.250

=====

9.
Compound: CdReHg2
Source: Alexandria via LeMat-Bulk
Functional: PBE
Structure: optimized geometry

Formation energy from the elements = 0.735 eV/atom
Symmetry = P4/mmm (123)

abc: 4.303 4.303 4.157
angles: 90.00 90.00 90.00
Atoms (fractional coordinates):
Cd  0.000  0.000  0.000
Re  0.500  0.500  0.000
Hg  0.000  0.500  0.500
Hg  0.500  0.000  0.500

=====

10.
Compound: Dy7YEr3
Source: Alexandria via LeMat-Bulk
Functional: PBE
Structure: optimized geometry

Formation energy from the elements = 0.143 eV/atom
Energy relative to the lowest polymorph listed for this composition = 0 meV/atom
Symmetry = P2/m (10)

abc: 6.968 5.501 9.819
angles: 90.00 110.20 90.00
Atoms (fractional coordinates):
Dy  0.000  0.000  0.000
Dy  0.147  0.500  0.291
Dy  0.322  0.500  0.642
Dy  0.420  0.000  0.831
Dy  0.580  0.000  0.169
Dy  0.678  0.500  0.358
Dy  0.853  0.500  0.709
Y  0.000  0.000  0.500
Er  0.279  0.500  0.998
Er  0.500  0.000  0.500
Er  0.721  0.500  0.002

=====

11.
Compound: Ce2PmPr2Rh5
Source: Alexandria via LeMat-Bulk
Functional: PBE
Structure: optimized geometry

Formation energy from the elements = -0.559 eV/atom
Symmetry = P4/mbm (127)

abc: 11.043 11.043 3.644
angles: 90.00 90.00 90.00
Atoms (fractional coordinates):
Ce  0.139  0.361  0.000
Ce  0.361  0.861  0.000
Ce  0.639  0.139  0.000
Ce  0.861  0.639  0.000
Pm  0.000  0.000  0.000
Pm  0.500  0.500  0.000
Pr  0.170  0.670  0.000
Pr  0.330  0.170  0.000
Pr  0.670  0.830  0.000
Pr  0.830  0.330  0.000
Rh  0.000  0.500  0.500
Rh  0.052  0.203  0.500
Rh  0.203  0.948  0.500
Rh  0.297  0.448  0.500
Rh  0.448  0.703  0.500
Rh  0.500  0.000  0.500
Rh  0.552  0.297  0.500
Rh  0.703  0.552  0.500
Rh  0.797  0.052  0.500
Rh  0.948  0.797  0.500

=====

12.
Compound: Er2In5Rh3
Source: Alexandria via LeMat-Bulk
Functional: PBE
Structure: optimized geometry

Formation energy from the elements = -0.549 eV/atom
Symmetry = Cmc2_1 (36)

abc: 13.392 13.392 7.284
angles: 90.00 90.00 161.08
Atoms (fractional coordinates):
Er  0.027  0.973  0.500
Er  0.324  0.676  0.616
Er  0.676  0.324  0.116
Er  0.973  0.027  0.000
In  0.097  0.903  0.889
In  0.206  0.794  0.418
In  0.208  0.792  0.824
In  0.374  0.626  0.049
In  0.446  0.554  0.669
In  0.554  0.446  0.169
In  0.626  0.374  0.549
In  0.792  0.208  0.324
In  0.794  0.206  0.918
In  0.903  0.097  0.389
Rh  0.111  0.889  0.272
Rh  0.269  0.731  0.123
Rh  0.458  0.542  0.283
Rh  0.542  0.458  0.783
Rh  0.731  0.269  0.623
Rh  0.889  0.111  0.772

=====

13.
Compound: TiCuHgF6
Source: Alexandria via LeMat-Bulk
Functional: PBE
Structure: optimized geometry

Symmetry = P-31c (163)
Energy = -4.85 eV per atom

abc: 5.703 5.703 9.202
angles: 90.00 90.00 120.00
Atoms (fractional coordinates):
Ti  0.333  0.667  0.250
Ti  0.667  0.333  0.750
Cu  0.000  0.000  0.000
Cu  0.000  0.000  0.500
Hg  0.333  0.667  0.750
Hg  0.667  0.333  0.250
F  0.153  0.366  0.119
F  0.153  0.787  0.381
F  0.213  0.366  0.381
F  0.213  0.847  0.119
F  0.366  0.153  0.619
F  0.366  0.213  0.881
F  0.634  0.787  0.119
F  0.634  0.847  0.381
F  0.787  0.153  0.881
F  0.787  0.634  0.619
F  0.847  0.213  0.619
F  0.847  0.634  0.881

=====

14.
Compound: Zr3CdH
Source: Alexandria via LeMat-Bulk
Functional: PBE
Structure: optimized geometry

Energy relative to the lowest polymorph listed for this composition = 52 meV/atom
Symmetry = Cmme (67)

abc: 4.533 4.533 9.179
angles: 90.00 90.00 90.65
Atoms (fractional coordinates):
Zr  0.000  0.500  0.500
Zr  0.005  0.995  0.761
Zr  0.495  0.505  0.761
Zr  0.500  0.000  0.500
Zr  0.505  0.495  0.239
Zr  0.995  0.005  0.239
Cd  0.000  0.500  0.000
Cd  0.500  0.000  0.000
H  0.250  0.750  0.366
H  0.750  0.250  0.634

=====

15.
Compound: PmEr3Tm2Se6
Source: Alexandria via LeMat-Bulk
Functional: PBE
Structure: optimized geometry

Symmetry = C2/m (12)
Energy = -5.73 eV per atom

abc: 7.030 7.030 7.034
angles: 99.52 99.52 120.26
Atoms (fractional coordinates):
Pm  0.000  0.000  0.000
Er  0.158  0.842  0.500
Er  0.500  0.500  0.500
Er  0.842  0.158  0.500
Tm  0.335  0.665  0.000
Tm  0.665  0.335  0.000
Se  0.084  0.430  0.256
Se  0.261  0.261  0.751
Se  0.430  0.084  0.256
Se  0.570  0.916  0.744
Se  0.739  0.739  0.249
Se  0.916  0.570  0.744

=====

16.
Compound: Li2TaCo
Source: Alexandria via LeMat-Bulk
Functional: PBE
Structure: optimized geometry

Formation energy from the elements = 0.281 eV/atom
Energy relative to the lowest polymorph listed for this composition = 116 meV/atom
Symmetry = C2/m (12)

abc: 5.545 5.545 2.784
angles: 103.71 103.71 126.61
Atoms (fractional coordinates):
Li  0.000  0.500  0.000
Li  0.500  0.000  0.000
Ta  0.000  0.000  0.500
Co  0.500  0.500  0.500

=====

17.
Compound: Nd4DyHo5
Source: Alexandria via LeMat-Bulk
Functional: PBE
Structure: optimized geometry

Formation energy from the elements = 0.190 eV/atom
Energy relative to the lowest polymorph listed for this composition = 171 meV/atom
Symmetry = C2/m (12)

abc: 8.768 8.768 11.259
angles: 90.02 90.02 23.24
Atoms (fractional coordinates):
Nd  0.032  0.032  0.250
Nd  0.343  0.343  0.250
Nd  0.657  0.657  0.750
Nd  0.968  0.968  0.750
Dy  0.500  0.500  0.500
Ho  0.173  0.173  0.050
Ho  0.173  0.173  0.450
Ho  0.500  0.500  0.000
Ho  0.827  0.827  0.550
Ho  0.827  0.827  0.950

=====

18.
Compound: Pm12Ho6Er
Source: Alexandria via LeMat-Bulk
Functional: PBE
Structure: optimized geometry

Formation energy from the elements = 0.137 eV/atom
Energy relative to the lowest polymorph listed for this composition = 0 meV/atom
Symmetry = R-3 (148)

abc: 8.631 8.631 8.631
angles: 88.91 88.91 88.91
Atoms (fractional coordinates):
Pm  0.017  0.362  0.195
Pm  0.195  0.017  0.362
Pm  0.220  0.567  0.463
Pm  0.362  0.195  0.017
Pm  0.433  0.537  0.780
Pm  0.463  0.220  0.567
Pm  0.537  0.780  0.433
Pm  0.567  0.463  0.220
Pm  0.638  0.805  0.983
Pm  0.780  0.433  0.537
Pm  0.805  0.983  0.638
Pm  0.983  0.638  0.805
Ho  0.098  0.259  0.702
Ho  0.259  0.702  0.098
Ho  0.298  0.902  0.741
Ho  0.702  0.098  0.259
Ho  0.741  0.298  0.902
Ho  0.902  0.741  0.298
Er  0.000  0.000  0.000

=====

19.
Compound: TaBrCl2
Source: Alexandria via LeMat-Bulk
Functional: PBE
Structure: optimized geometry

Energy relative to the lowest polymorph listed for this composition = 594 meV/atom
Symmetry = Cmmm (65)

abc: 3.405 3.405 11.371
angles: 90.00 90.00 128.77
Atoms (fractional coordinates):
Ta  0.000  0.000  0.000
Br  0.000  0.000  0.500
Cl  0.500  0.500  0.174
Cl  0.500  0.500  0.826

=====

20.
Compound: Zn6GaRh5
Source: Alexandria via LeMat-Bulk
Functional: PBE
Structure: optimized geometry

Formation energy from the elements = -0.396 eV/atom
Symmetry = Immm (71)

abc: 7.349 7.349 7.349
angles: 146.78 128.46 62.71
Atoms (fractional coordinates):
Zn  0.063  0.327  0.736
Zn  0.222  0.000  0.222
Zn  0.409  0.673  0.736
Zn  0.591  0.327  0.264
Zn  0.778  0.000  0.778
Zn  0.937  0.673  0.264
Ga  0.500  0.500  0.000
Rh  0.000  0.500  0.500
Rh  0.172  0.172  0.000
Rh  0.354  0.854  0.500
Rh  0.646  0.146  0.500
Rh  0.828  0.828  0.000

=====

21.
Compound: CeCdPd5
Source: Alexandria via LeMat-Bulk
Functional: PBE
Structure: optimized geometry

Formation energy from the elements = -0.493 eV/atom
Energy relative to the lowest polymorph listed for this composition = 0 meV/atom
Symmetry = Cmmm (65)

abc: 4.965 4.965 5.688
angles: 90.00 90.00 109.05
Atoms (fractional coordinates):
Ce  0.000  0.000  0.000
Cd  0.500  0.500  0.500
Pd  0.000  0.500  0.255
Pd  0.000  0.500  0.745
Pd  0.500  0.000  0.255
Pd  0.500  0.000  0.745
Pd  0.500  0.500  0.000

=====

22.
Compound: ZrTiMoIr
Source: Alexandria via LeMat-Bulk
Functional: PBE
Structure: optimized geometry

Formation energy from the elements = -0.528 eV/atom
Symmetry = F-43m (216)

abc: 4.555 4.555 4.555
angles: 60.00 60.00 60.00
Atoms (fractional coordinates):
Zr  0.000  0.000  0.000
Ti  0.500  0.500  0.500
Mo  0.750  0.750  0.750
Ir  0.250  0.250  0.250

=====

23.
Compound: NdSmTlPd
Source: Alexandria via LeMat-Bulk
Functional: PBE
Structure: optimized geometry

Formation energy from the elements = -0.485 eV/atom
Symmetry = F-43m (216)

abc: 5.315 5.315 5.315
angles: 60.00 60.00 60.00
Atoms (fractional coordinates):
Nd  0.000  0.000  0.000
Sm  0.500  0.500  0.500
Tl  0.250  0.250  0.250
Pd  0.750  0.750  0.750

=====

no.,density (g/cm3)
1,3.24
2,10.53
3,9.15
4,5.40
5,3.50
6,12.11
7,6.78
8,9.35
9,15.10
10,8.12
11,9.13
12,9.55
13,5.46
14,6.82
15,8.55
16,7.22
17,7.60
18,7.48
19,5.36
20,9.63
21,9.83
22,10.62
23,9.47